No. 1
# Pm3NdIr2

A relaxed structure of Pm3NdIr2 (PBE, Alexandria via LeMat-Bulk).

* relative energy among the computed polymorphs: 0.000 eV/atom
* crystal system: orthorhombic
* DOS(E_F): 0.872 states/eV per atom
* SG: Pmc2_1 (26)

Unit cell a=4.8233 b=7.3634 c=8.9601 alpha=90.00 beta=90.00 gamma=90.00
Last column: nearest neighbours and their distance in Å.
Element x y z (fractional)
Pm 0.5000 0.6405 0.1621  4 Ir 2.92-3.04
Pm 0.5000 0.1405 0.8379  4 Ir 2.92-3.04
Pm 0.0000 0.9952 0.0868  3 Ir 2.82-3.11
Ir 0.0000 0.2556 0.6675  5 Pm 2.82-3.07, 2 Nd 3.12
Pm 0.0000 0.3599 0.3361  4 Ir 2.91-3.07
Pm 0.0000 0.8599 0.6639  4 Ir 2.91-3.07
Nd 0.5000 0.5046 0.5864  3 Ir 2.84-3.12
Nd 0.5000 0.0046 0.4136  3 Ir 2.84-3.12
Pm 0.0000 0.4952 0.9132  3 Ir 2.82-3.11
Ir 0.5000 0.7443 0.8340  1 Nd 2.84, 6 Pm 2.92-3.11
Ir 0.0000 0.7556 0.3325  5 Pm 2.82-3.07, 2 Nd 3.12
Ir 0.5000 0.2443 0.1660  1 Nd 2.84, 6 Pm 2.92-3.11

=====

No. 2
# Pm2NdIr

A relaxed structure of Pm2NdIr (PBE, Alexandria via LeMat-Bulk).

* relative energy among the computed polymorphs: 0.177 eV/atom
* crystal system: trigonal
* DOS(E_F): 1.122 states/eV per atom
* SG: R3m (160)

Unit cell a=4.0539 b=4.0539 c=9.5020 alpha=77.68 beta=77.68 gamma=60.00
Last column: nearest neighbours and their distance in Å.
Element x y z (fractional)
Nd 0.5013 0.5013 0.4960  6 Pm 3.80-3.87, 6 Nd 4.05
Pm 0.0564 0.0564 0.8309  3 Ir 2.82
Ir 0.6662 0.6662 0.0015  6 Pm 2.82
Pm 0.2761 0.2761 0.1716  3 Ir 2.82

=====

No. 3
# Pm2Nd5Ir4

A relaxed structure of Pm2Nd5Ir4 (PBE, Alexandria via LeMat-Bulk).

* crystal system: monoclinic
* DOS(E_F): 0.727 states/eV per atom
* SG: C2/m (12)

Unit cell a=3.8351 b=7.0560 c=12.5248 alpha=86.48 beta=98.81 gamma=90.00
Last column: nearest neighbours and their distance in Å.
Element x y z (fractional)
Nd 0.7695 0.7088 0.5390  3 Ir 2.88-2.93
Ir 0.3321 0.4843 0.6642  5 Nd 2.88-2.93, 2 Pm 3.08
Pm 0.0849 0.3559 0.1698  4 Ir 2.77-3.08
Ir 0.6679 0.5157 0.3358  5 Nd 2.88-2.93, 2 Pm 3.08
Pm 0.9151 0.6441 0.8302  4 Ir 2.77-3.08
Ir 0.0265 0.7033 0.0531  2 Pm 2.77-2.82, 3 Nd 2.80-2.88
Nd 0.2305 0.2912 0.4610  3 Ir 2.88-2.93
Nd 0.5000 0.0000 0.0000  4 Ir 2.88
Nd 0.1334 0.8122 0.2668  3 Ir 2.80-2.93
Ir 0.9735 0.2967 0.9469  2 Pm 2.77-2.82, 3 Nd 2.80-2.88
Nd 0.8666 0.1878 0.7332  3 Ir 2.80-2.93

=====

No. 4
# Pm2NdIr9

A relaxed structure of Pm2NdIr9 (PBE, Alexandria via LeMat-Bulk).

* crystal system: trigonal
* DOS(E_F): 0.994 states/eV per atom
* SG: R-3m (166)

Unit cell a=5.3721 b=5.3721 c=9.3644 alpha=73.33 beta=73.33 gamma=60.00
Last column: nearest neighbours and their distance in Å.
Element x y z (fractional)
Ir 0.9161 0.4202 0.2434  7 Ir 2.64-2.74
Ir 0.4202 0.4202 0.2434  7 Ir 2.64-2.74
Pm 0.8605 0.8605 0.4186  12 Ir 3.10-3.37, 3 Pm 3.42
Ir 0.4202 0.9161 0.2434  7 Ir 2.64-2.74
Ir 0.6677 0.6677 0.9968  6 Ir 2.64-2.67
Ir 0.3323 0.3323 0.0032  6 Ir 2.64-2.67
Ir 0.5798 0.0839 0.7566  7 Ir 2.64-2.74
Nd 0.0000 0.0000 0.0000  18 Ir 3.10-3.44
Pm 0.1395 0.1395 0.5814  12 Ir 3.10-3.37, 3 Pm 3.42
Ir 0.5798 0.5798 0.7566  7 Ir 2.64-2.74
Ir 0.0839 0.5798 0.7566  7 Ir 2.64-2.74
Ir 0.5000 0.5000 0.5000  6 Ir 2.74

=====

No. 5
# Pm3Nd4Ir4

A relaxed structure of Pm3Nd4Ir4 (PBE, Alexandria via LeMat-Bulk).

* crystal system: orthorhombic
* DOS(E_F): 0.745 states/eV per atom
* SG: Immm (71)

Unit cell a=4.4732 b=8.2034 c=9.1681 alpha=116.58 beta=104.12 gamma=90.00
Last column: nearest neighbours and their distance in Å.
Element x y z (fractional)
Pm 0.0996 0.0996 0.1991  4 Ir 3.09, 1 Pm 3.14, 4 Nd 3.44
Nd 0.3326 0.1240 0.6652  4 Ir 2.81-3.07
Pm 0.9004 0.9004 0.8009  4 Ir 3.09, 1 Pm 3.14, 4 Nd 3.44
Ir 0.2104 0.7104 0.4207  6 Nd 2.90-3.07
Ir 0.5000 0.1757 0.0000  2 Nd 2.81, 1 Ir 2.88, 4 Pm 3.09
Ir 0.5000 0.8243 0.0000  2 Nd 2.81, 1 Ir 2.88, 4 Pm 3.09
Pm 0.0000 0.5000 0.0000  6 Ir 3.32-3.48
Nd 0.6674 0.8760 0.3348  4 Ir 2.81-3.07
Ir 0.7896 0.2896 0.5793  6 Nd 2.90-3.07
Nd 0.3326 0.5412 0.6652  4 Ir 2.81-3.07
Nd 0.6674 0.4588 0.3348  4 Ir 2.81-3.07

=====

No. 6
# Pm2NdIr

A relaxed structure of Pm2NdIr (PBE, Alexandria via LeMat-Bulk).

* relative energy among the computed polymorphs: 0.000 eV/atom
* crystal system: orthorhombic
* DOS(E_F): 1.190 states/eV per atom
* SG: Pnma (62)

Unit cell a=6.5315 b=7.3676 c=9.7899 alpha=90.00 beta=90.00 gamma=90.00
Last column: nearest neighbours and their distance in Å.
Element x y z (fractional)
Ir 0.5627 0.1190 0.7500  2 Nd 2.87-2.98, 4 Pm 2.91-2.93
Pm 0.3288 0.1753 0.0655  2 Ir 2.91-2.93
Nd 0.8589 0.0358 0.2500  2 Ir 2.87-2.98
Pm 0.3288 0.1753 0.4345  2 Ir 2.91-2.93
Pm 0.8288 0.3247 0.5655  2 Ir 2.91-2.93
Ir 0.0627 0.3810 0.2500  2 Nd 2.87-2.98, 4 Pm 2.91-2.93
Nd 0.1411 0.9642 0.7500  2 Ir 2.87-2.98
Nd 0.6411 0.5358 0.2500  2 Ir 2.87-2.98
Pm 0.1712 0.6753 0.0655  2 Ir 2.91-2.93
Ir 0.9373 0.6190 0.7500  2 Nd 2.87-2.98, 4 Pm 2.91-2.93
Pm 0.6712 0.8247 0.9345  2 Ir 2.91-2.93
Pm 0.6712 0.8247 0.5655  2 Ir 2.91-2.93
Nd 0.3589 0.4642 0.7500  2 Ir 2.87-2.98
Pm 0.8288 0.3247 0.9345  2 Ir 2.91-2.93
Ir 0.4373 0.8810 0.2500  2 Nd 2.87-2.98, 4 Pm 2.91-2.93
Pm 0.1712 0.6753 0.4345  2 Ir 2.91-2.93

=====

No. 7
# Pm3NdIr

A relaxed structure of Pm3NdIr (PBE, Alexandria via LeMat-Bulk).

* relative energy among the computed polymorphs: 0.079 eV/atom
* crystal system: cubic
* DOS(E_F): 1.702 states/eV per atom
* SG: Pm-3m (221)

Unit cell a=5.5963 b=5.5963 c=5.5963 alpha=90.00 beta=90.00 gamma=90.00
Last column: nearest neighbours and their distance in Å.
Element x y z (fractional)
Nd 0.5000 0.5000 0.5000  12 Pm 3.96
Pm 0.0000 0.5000 0.0000  2 Ir 2.80
Pm 0.0000 0.0000 0.5000  2 Ir 2.80
Pm 0.5000 0.0000 0.0000  2 Ir 2.80
Ir 0.0000 0.0000 0.0000  6 Pm 2.80

=====

No. 8
# Pm5NdIr2

A relaxed structure of Pm5NdIr2 (PBE, Alexandria via LeMat-Bulk).

* crystal system: orthorhombic
* DOS(E_F): 1.264 states/eV per atom
* SG: Immm (71)

Unit cell a=4.2472 b=9.0686 c=9.0686 alpha=47.99 beta=76.46 gamma=76.46
Last column: nearest neighbours and their distance in Å.
Element x y z (fractional)
Nd 0.0000 0.0000 0.0000  10 Pm 3.69-3.80
Pm 0.3399 0.9114 0.4087  3 Ir 2.85-3.09
Pm 0.6601 0.0886 0.5913  3 Ir 2.85-3.09
Ir 0.1850 0.3150 0.3150  7 Pm 2.85-3.09
Pm 0.6601 0.5913 0.0886  3 Ir 2.85-3.09
Ir 0.8150 0.6850 0.6850  7 Pm 2.85-3.09
Pm 0.3399 0.4087 0.9114  3 Ir 2.85-3.09
Pm 0.0000 0.5000 0.5000  2 Ir 2.96

=====

No. 9
# Pm2Nd2Ir3

A relaxed structure of Pm2Nd2Ir3 (PBE, Alexandria via LeMat-Bulk).

* relative energy among the computed polymorphs: 0.000 eV/atom
* crystal system: cubic
* DOS(E_F): 0.543 states/eV per atom
* SG: I2_13 (199)

Unit cell a=7.6624 b=7.6624 c=7.6624 alpha=109.47 beta=109.47 gamma=109.47
Last column: nearest neighbours and their distance in Å.
Element x y z (fractional)
Nd 0.1274 0.6274 0.6274  3 Ir 2.87
Ir 0.1187 0.3687 0.2500  2 Nd 2.87, 2 Pm 2.88
Ir 0.3813 0.1313 0.7500  2 Nd 2.87, 2 Pm 2.88
Ir 0.7500 0.6187 0.3687  2 Nd 2.87, 2 Pm 2.88
Nd 0.3726 0.5000 0.0000  3 Ir 2.87
Pm 0.8753 0.5000 0.0000  6 Ir 2.88-3.23
Ir 0.6313 0.7500 0.8813  2 Nd 2.87, 2 Pm 2.88
Ir 0.2500 0.8813 0.1313  2 Nd 2.87, 2 Pm 2.88
Ir 0.8687 0.2500 0.6187  2 Nd 2.87, 2 Pm 2.88
Nd 0.0000 0.0000 0.8726  3 Ir 2.87
Pm 0.0000 0.0000 0.3753  6 Ir 2.88-3.23
Nd 0.5000 0.8726 0.5000  3 Ir 2.87
Pm 0.6247 0.1247 0.1247  6 Ir 2.88-3.23
Pm 0.5000 0.3753 0.5000  6 Ir 2.88-3.23

=====

No. 10
# PmNd2Ir

A relaxed structure of PmNd2Ir (PBE, Alexandria via LeMat-Bulk).

* relative energy among the computed polymorphs: 0.197 eV/atom
* crystal system: trigonal
* DOS(E_F): 1.199 states/eV per atom
* SG: R3m (160)

Unit cell a=4.0600 b=4.0600 c=9.5495 alpha=77.73 beta=77.73 gamma=60.00
Last column: nearest neighbours and their distance in Å.
Element x y z (fractional)
Ir 0.6662 0.6662 0.0013  6 Nd 2.83-2.84
Pm 0.5011 0.5011 0.4967  6 Nd 3.80-3.86, 6 Pm 4.06
Nd 0.0571 0.0571 0.8286  3 Ir 2.84
Nd 0.2755 0.2755 0.1734  3 Ir 2.83

=====

Number 1: uncorrected energy -40.28 eV per formula unit, E_form -3.54 eV per formula unit. Number 2: uncorrected energy -24.28 eV per formula unit, E_form -1.15 eV per formula unit. Number 3: uncorrected energy -72.13 eV per formula unit, E_form -3.35 eV per formula unit. Number 4: uncorrected energy -100.38 eV per formula unit, E_form -6.36 eV per formula unit. Number 5: uncorrected energy -73.98 eV per formula unit, E_form -5.22 eV per formula unit. Number 6: uncorrected energy -24.99 eV per formula unit, E_form -1.86 eV per formula unit. Number 7: uncorrected energy -28.78 eV per formula unit, E_form -0.90 eV per formula unit. Number 8: uncorrected energy -49.15 eV per formula unit, E_form -2.91 eV per formula unit. Number 9: uncorrected energy -49.88 eV per formula unit, E_form -4.26 eV per formula unit. Number 10: uncorrected energy -24.17 eV per formula unit, E_form -1.03 eV per formula unit.